Compound: Ac3H12Rh5
Source: Alexandria
Functional: PBE-GGA
Structure: optimized geometry

Output
**E**: -4.765 eV per atom

a b c (Å): 12.239 12.239 12.239
angles (deg): 90.00 90.00 90.00
Space group Ia-3d (No. 230)
Asymmetric unit:
Ac 0.000 0.250 0.125
H 0.041 0.132 0.952
Rh 0.000 0.000 0.000
Rh 0.000 0.250 0.375